## NaEr2S3 (PBE-GGA)

Data for a geometry-optimized NaEr2S3 structure.

Cell lengths 3.8863, 5.5070, 11.8441 Å; angles 90.00, 90.00, 90.00 degrees
Last column: nearest neighbours and their distance in Å.
Space group Immm (No. 71)
Inequivalent atoms, fractional coordinates:
Na 0.0000 0.0000 0.0000 x2  6 S 2.75-2.83
Er 0.0000 0.0000 0.3374 x4  6 S 2.74-2.76
S 0.0000 0.5000 0.0000 x2  4 Er 2.74, 2 Na 2.75
S 0.0000 0.5000 0.3262 x4  4 Er 2.74-2.76, 2 Na 2.83

Computed properties:
Calculated volume (Å³/f.u.): 127
Uncorrected energy (eV per atom): -5.6743
Fermi-level density of states (states/eV/f.u.): 1.7

***

## NaErS2 (PBE-GGA)

Data for a geometry-optimized NaErS2 structure.

Cell lengths 3.9199, 3.9199, 20.7756 Å; angles 90.00, 90.00, 120.00 degrees
Last column: nearest neighbours and their distance in Å.
Space group R3m (No. 160, hexagonal axes)
Inequivalent atoms, fractional coordinates:
Na 0.0000 0.0000 0.0000 x3  6 S 2.92-3.04
Er 0.0000 0.0000 0.1709 x3  6 S 2.73
S 0.0000 0.0000 0.5775 x3  3 Er 2.73, 3 Na 2.92
S 0.0000 0.0000 0.7642 x3  3 Er 2.73, 3 Na 3.04

Computed properties:
Calculated volume (Å³/f.u.): 92
Uncorrected energy (eV per atom): -5.3502
Fermi-level density of states (states/eV/f.u.): 0.0

***

Question: Number 1 is which compound?
Answer: NaEr2S3